#one
CeTa7O19 | PBE | relaxed

Summary:
Crystal system: hexagonal
Total magnetization in μB/f.u.: 1.013

abc: 6.2903 6.2903 20.1702
angles: 90.00 90.00 120.00
With the nearest neighbours (Å) after each atom.
Space group P-6c2 (No. 188)
Symmetry-distinct sites (fractional):
Ce 0.0000 0.0000 0.0000 x2  8 O 2.46-2.67
Ta 0.0260 0.3346 0.1559 x12  6 O 1.92-2.08
Ta 0.3333 0.6667 0.0000 x2  6 O 2.01
O 0.0000 0.0000 0.1323 x4  3 Ta 2.08
O 0.0411 0.2927 0.2500 x6  2 Ta 1.92
O 0.0966 0.3845 0.0566 x12  2 Ta 2.01-2.04
O 0.3333 0.6667 0.1668 x4  3 Ta 2.03
O 0.4213 0.0881 0.6533 x12  2 Ta 1.99-2.00



#two
CeTa7O19 | PBE | relaxed

Summary:
Crystal system: hexagonal
Total magnetization in μB/f.u.: 1.036

abc: 6.3037 6.3037 20.2091
angles: 90.00 90.00 120.00
With the nearest neighbours (Å) after each atom.
Space group P6_322 (No. 182)
Symmetry-distinct sites (fractional):
Ce 0.3333 0.6667 0.2500 x2  8 O 2.45-2.73
Ta 0.0031 0.3589 0.9054 x12  6 O 1.93-2.09
Ta 0.3333 0.6667 0.7500 x2  6 O 2.01
O 0.0000 0.3937 0.0000 x6  2 Ta 1.93
O 0.0027 0.2454 0.4032 x12  2 Ta 1.99-2.00
O 0.0494 0.4277 0.8059 x12  2 Ta 2.01-2.05
O 0.3333 0.6667 0.1147 x4  3 Ta 2.09
O 0.3333 0.6667 0.5903 x4  3 Ta 2.02



Which of them is most stable, and which least? Most stable: #one; least stable: #two.